8
Lattice="6.2778 0.0000 0.0000 -1.4375 6.1306 0.0000 -2.4955 -2.9440 4.9768" Properties=species:S:1:pos:R:3 comment="SrAg2GeSeS3 | OQMD | PBE-GGA | relaxed" final_energy_ev_per_cell=-33.574 pbc="T T T"
S 2.7148 4.5513 2.5375
Ge 1.9127 -1.4361 2.5366
Se -0.3248 3.5950 0.5717
S 1.2611 0.7129 2.4726
S 1.0566 -2.4367 4.3562
Sr 4.3043 1.5728 2.4717
Ag -1.4986 -1.8146 4.9747
Ag 1.3157 1.9925 4.9632